(1)
Density functional theory data (PBE+U) for MoCF2 after structural relaxation.

Results
offset from the most stable computed form	512	meV per atom
SG	No. 166

Unit cell a=9.698 b=9.698 c=9.698 alpha=16.08 beta=16.08 gamma=16.08
Fractional positions:
Mo1 0.000 0.000 0.000
C1 0.500 0.500 0.500
F1 0.386 0.386 0.386
F2 0.614 0.614 0.614

---

(2)
Density functional theory data (PBE+U) for AcZn3Mo4O12 after structural relaxation.

Results
SG	No. 204
E_tot	-6.56	eV/atom

Unit cell a=6.813 b=6.813 c=6.813 alpha=109.47 beta=109.47 gamma=109.47
Fractional positions:
Ac1 0.000 0.000 0.000
Zn1 0.000 0.500 0.500
Zn2 0.500 0.000 0.500
Zn3 0.500 0.500 0.000
Mo1 0.000 0.000 0.500
Mo2 0.000 0.500 0.000
Mo3 0.500 0.000 0.000
Mo4 0.500 0.500 0.500
O1 0.128 0.303 0.825
O2 0.175 0.477 0.303
O3 0.175 0.872 0.697
O4 0.303 0.175 0.477
O5 0.303 0.825 0.128
O6 0.477 0.303 0.175
O7 0.523 0.697 0.825
O8 0.697 0.175 0.872
O9 0.697 0.825 0.523
O10 0.825 0.128 0.303
O11 0.825 0.523 0.697
O12 0.872 0.697 0.175

---

Number 1: D(E_F) 1.614 states/eV/f.u.. Number 2: D(E_F) 1.546 states/eV/f.u..